No. 1
## BaNbMoF2 (PBE+U)

Data for a geometry-optimized BaNbMoF2 structure.

a b c (Å): 4.505 4.505 5.480
angles (deg): 90.00 90.00 90.00
Atoms (fractional coordinates):
Ba: 0.000 0.000 0.000
Nb: 0.500 0.500 0.000
Mo: 0.500 0.500 0.500
F: 0.000 0.500 0.500
F: 0.500 0.000 0.500

Raw total energy, eV per cell: -25.26
Density of states at the Fermi level, states/eV/f.u.: 3.53
Magnetic moment, μB/cell: 0.81
Symmetry: P4/mmm, No. 123

=====

No. 2
## BaMoOF2 (PBE+U)

Data for a geometry-optimized BaMoOF2 structure.

a b c (Å): 4.949 4.949 5.026
angles (deg): 90.00 90.00 90.00
Atoms (fractional coordinates):
Ba: 0.000 0.000 0.000
Mo: 0.500 0.500 0.500
O: 0.000 0.000 0.500
F: 0.000 0.500 0.000
F: 0.500 0.000 0.000

Raw total energy, eV per cell: -24.44
Offset from the most stable computed form, eV/f.u.: 4.38
Density of states at the Fermi level, states/eV/f.u.: 2.11
Magnetic moment, μB/cell: 4.00
Symmetry: P4/mmm, No. 123

=====

No. 3
## Ba2MoO3F3 (PBE+U)

Data for a geometry-optimized Ba2MoO3F3 structure.

a b c (Å): 7.083 7.083 3.119
angles (deg): 90.00 90.00 120.00
Atoms (fractional coordinates):
Ba: 0.333 0.667 0.000
Ba: 0.667 0.333 0.000
Mo: 0.000 0.000 0.500
O: 0.000 0.797 0.000
O: 0.203 0.203 0.000
O: 0.797 0.000 0.000
F: 0.000 0.430 0.500
F: 0.430 0.000 0.500
F: 0.570 0.570 0.500

Raw total energy, eV per cell: -53.84
Magnetic moment, μB/cell: 1.00
Symmetry: P-62m, No. 189

=====

No. 4
## BaMoO2F (PBE+U)

Data for a geometry-optimized BaMoO2F structure.

a b c (Å): 4.288 4.288 4.242
angles (deg): 90.00 90.00 90.00
Atoms (fractional coordinates):
Ba: 0.000 0.000 0.000
Mo: 0.500 0.500 0.500
O: 0.000 0.500 0.500
O: 0.500 0.000 0.500
F: 0.500 0.500 0.000

Raw total energy, eV per cell: -32.51
Magnetic moment, μB/cell: 3.00
Symmetry: P4/mmm, No. 123

=====

No. 5
## BaMoO2F (PBE+U)

Data for a geometry-optimized BaMoO2F structure.

a b c (Å): 4.750 4.750 4.906
angles (deg): 90.00 90.00 90.00
Atoms (fractional coordinates):
Ba: 0.000 0.000 0.000
Mo: 0.500 0.500 0.500
O: 0.000 0.500 0.000
O: 0.500 0.000 0.000
F: 0.000 0.000 0.500

Raw total energy, eV per cell: -23.68
Density of states at the Fermi level, states/eV/f.u.: 3.90
Magnetic moment, μB/cell: 5.02
Symmetry: P4/mmm, No. 123

=====

No. 6
## BaMoOF2 (PBE+U)

Data for a geometry-optimized BaMoOF2 structure.

a b c (Å): 4.544 4.544 4.311
angles (deg): 90.00 90.00 90.00
Atoms (fractional coordinates):
Ba: 0.000 0.000 0.000
Mo: 0.500 0.500 0.500
O: 0.500 0.500 0.000
F: 0.000 0.500 0.500
F: 0.500 0.000 0.500

Raw total energy, eV per cell: -28.82
Offset from the most stable computed form, eV/f.u.: 0.00
Density of states at the Fermi level, states/eV/f.u.: 0.63
Magnetic moment, μB/cell: 3.94
Symmetry: P4/mmm, No. 123

=====

No. 7
## Rb2BaMoF6 (PBE+U)

Data for a geometry-optimized Rb2BaMoF6 structure.

a b c (Å): 6.334 9.310 7.298
angles (deg): 90.00 90.00 90.00
Atoms (fractional coordinates):
Rb: 0.250 0.038 0.185
Rb: 0.250 0.462 0.185
Rb: 0.750 0.538 0.815
Rb: 0.750 0.962 0.815
Ba: 0.250 0.250 0.698
Ba: 0.750 0.750 0.302
Mo: 0.250 0.750 0.795
Mo: 0.750 0.250 0.205
F: 0.003 0.750 0.572
F: 0.015 0.750 0.029
F: 0.250 0.516 0.797
F: 0.250 0.984 0.797
F: 0.485 0.750 0.029
F: 0.497 0.750 0.572
F: 0.503 0.250 0.428
F: 0.515 0.250 0.971
F: 0.750 0.016 0.203
F: 0.750 0.484 0.203
F: 0.985 0.250 0.971
F: 0.997 0.250 0.428

Raw total energy, eV per cell: -98.89
Offset from the most stable computed form, eV/f.u.: 0.51
Density of states at the Fermi level, states/eV/f.u.: 0.05
Magnetic moment, μB/cell: 4.00
Symmetry: Pmmn, No. 59

=====

No. 8
## Rb2BaMoF6 (PBE+U)

Data for a geometry-optimized Rb2BaMoF6 structure.

a b c (Å): 7.025 7.025 7.025
angles (deg): 123.52 123.52 84.00
Atoms (fractional coordinates):
Rb: 0.250 0.750 0.500
Rb: 0.750 0.250 0.500
Ba: 0.000 0.000 0.000
Mo: 0.500 0.500 0.000
F: 0.243 0.243 0.000
F: 0.271 0.271 0.541
F: 0.271 0.729 0.000
F: 0.729 0.271 0.000
F: 0.729 0.729 0.459
F: 0.757 0.757 0.000

Raw total energy, eV per cell: -49.96
Offset from the most stable computed form, eV/f.u.: 0.00
Density of states at the Fermi level, states/eV/f.u.: 0.00
Magnetic moment, μB/cell: 4.00
Symmetry: I4/mmm, No. 139

=====

No. 9
## RbBaMoF6 (PBE+U)

Data for a geometry-optimized RbBaMoF6 structure.

a b c (Å): 6.608 6.608 9.963
angles (deg): 90.00 90.00 120.00
Atoms (fractional coordinates):
Rb: 0.000 0.000 0.000
Rb: 0.000 0.000 0.500
Ba: 0.333 0.667 0.250
Ba: 0.667 0.333 0.750
Mo: 0.333 0.667 0.750
Mo: 0.667 0.333 0.250
F: 0.058 0.399 0.639
F: 0.058 0.659 0.861
F: 0.341 0.399 0.861
F: 0.341 0.942 0.639
F: 0.399 0.058 0.139
F: 0.399 0.341 0.361
F: 0.601 0.659 0.639
F: 0.601 0.942 0.861
F: 0.659 0.058 0.361
F: 0.659 0.601 0.139
F: 0.942 0.341 0.139
F: 0.942 0.601 0.361

Raw total energy, eV per cell: -97.60
Density of states at the Fermi level, states/eV/f.u.: 0.00
Magnetic moment, μB/cell: 6.00
Symmetry: P-31c, No. 163

=====

No. 10
## RbBa2MoF8 (PBE+U)

Data for a geometry-optimized RbBa2MoF8 structure.

a b c (Å): 4.599 8.518 5.922
angles (deg): 90.00 97.25 90.00
Atoms (fractional coordinates):
Rb: 0.000 0.000 0.000
Ba: 0.500 0.255 0.500
Ba: 0.500 0.745 0.500
Mo: 0.000 0.500 0.000
F: 0.054 0.312 0.768
F: 0.054 0.688 0.768
F: 0.407 0.500 0.210
F: 0.459 0.000 0.730
F: 0.541 0.000 0.270
F: 0.593 0.500 0.790
F: 0.946 0.312 0.232
F: 0.946 0.688 0.232

Raw total energy, eV per cell: -65.84
Density of states at the Fermi level, states/eV/f.u.: 0.00
Magnetic moment, μB/cell: 3.00
Symmetry: P2/m, No. 10

=====

No. 11
## Ba2TlMoF8 (PBE+U)

Data for a geometry-optimized Ba2TlMoF8 structure.

a b c (Å): 4.586 8.596 5.882
angles (deg): 90.00 97.63 90.00
Atoms (fractional coordinates):
Ba: 0.000 0.245 0.000
Ba: 0.000 0.755 0.000
Tl: 0.500 0.500 0.500
Mo: 0.500 0.000 0.500
F: 0.047 0.500 0.769
F: 0.091 0.000 0.287
F: 0.445 0.186 0.733
F: 0.445 0.814 0.733
F: 0.555 0.186 0.267
F: 0.555 0.814 0.267
F: 0.909 0.000 0.713
F: 0.953 0.500 0.231

Raw total energy, eV per cell: -65.21
Density of states at the Fermi level, states/eV/f.u.: 0.00
Magnetic moment, μB/cell: 3.00
Symmetry: P2/m, No. 10

=====

No. 12
## BaTl2MoF6 (PBE+U)

Data for a geometry-optimized BaTl2MoF6 structure.

a b c (Å): 6.512 9.438 6.913
angles (deg): 90.00 90.00 90.00
Atoms (fractional coordinates):
Ba: 0.250 0.250 0.219
Ba: 0.750 0.750 0.781
Tl: 0.250 0.013 0.710
Tl: 0.250 0.487 0.710
Tl: 0.750 0.513 0.290
Tl: 0.750 0.987 0.290
Mo: 0.250 0.750 0.272
Mo: 0.750 0.250 0.728
F: 0.016 0.750 0.062
F: 0.020 0.750 0.491
F: 0.250 0.525 0.275
F: 0.250 0.975 0.275
F: 0.480 0.750 0.491
F: 0.484 0.750 0.062
F: 0.516 0.250 0.938
F: 0.520 0.250 0.509
F: 0.750 0.025 0.725
F: 0.750 0.475 0.725
F: 0.980 0.250 0.509
F: 0.984 0.250 0.938

Raw total energy, eV per cell: -98.16
Density of states at the Fermi level, states/eV/f.u.: 2.92
Magnetic moment, μB/cell: 6.27
Symmetry: Pmmn, No. 59

=====

What did the eleventh record say?
## Ba2TlMoF8 (PBE+U)

Data for a geometry-optimized Ba2TlMoF8 structure.

a b c (Å): 4.586 8.596 5.882
angles (deg): 90.00 97.63 90.00
Atoms (fractional coordinates):
Ba: 0.000 0.245 0.000
Ba: 0.000 0.755 0.000
Tl: 0.500 0.500 0.500
Mo: 0.500 0.000 0.500
F: 0.047 0.500 0.769
F: 0.091 0.000 0.287
F: 0.445 0.186 0.733
F: 0.445 0.814 0.733
F: 0.555 0.186 0.267
F: 0.555 0.814 0.267
F: 0.909 0.000 0.713
F: 0.953 0.500 0.231

Raw total energy, eV per cell: -65.21
Density of states at the Fermi level, states/eV/f.u.: 0.00
Magnetic moment, μB/cell: 3.00
Symmetry: P2/m, No. 10